RbCr3F9: relaxed, PBE with a Hubbard U.

Summary:
- SG: P6/mmm
- Calculated total energy: -5.848 eV/atom
- Crystal system: hexagonal

Lattice parameters (Å, degrees): 4.004 7.542 7.542 120.00 90.00 90.00
Each line ends with the local moment (μB).
Fractional positions:
F (0.000, 0.000, 0.500)  -0.01
F (0.500, 0.798, 0.202)  -0.01
F (0.500, 0.595, 0.798)  -0.01
F (0.500, 0.405, 0.202)  -0.01
F (0.000, 0.500, 0.000)  -0.01
F (0.000, 0.500, 0.500)  -0.01
F (0.500, 0.202, 0.798)  -0.01
F (0.500, 0.798, 0.595)  -0.01
F (0.500, 0.202, 0.405)  -0.01
Cr (0.500, 0.500, 0.000)  3.27
Cr (0.500, 0.000, 0.500)  3.27
Cr (0.500, 0.500, 0.500)  3.27
Rb (0.000, 0.000, 0.000)  0.00